[1]
# ErAg2Br5

A relaxed structure of ErAg2Br5 (GGA-PBE, the Alexandria database).

Cell: 5.6373 7.5238 7.5997 Å, 81.88 69.52 69.01°
Element x y z (fractional)
1 Er 0.0000 0.0000 0.0000
2 Ag 0.5000 0.5060 0.9906
3 Ag 0.5026 0.9991 0.4985
4 Br 0.0394 0.6738 0.2266
5 Br 0.2606 0.7702 0.6819
6 Br 0.5022 0.9982 0.9981
7 Br 0.7425 0.2291 0.3160
8 Br 0.9662 0.3245 0.7707

Values from the calculation:
Magnetic moment   0.0 Bohr magnetons per cell
V   282 Å³ per cell



[2]
# KEr2AgBr8

A relaxed structure of KEr2AgBr8 (GGA-PBE, the Alexandria database).

Cell: 7.0062 8.4951 7.2214 Å, 90.00 97.08 90.00°
Element x y z (fractional)
1 K 0.0000 0.0000 0.0000
2 Er 0.5000 0.2573 0.5000
3 Er 0.5000 0.7427 0.5000
4 Ag 0.0000 0.5000 0.0000
5 Br 0.2651 0.2743 0.1666
6 Br 0.2651 0.7257 0.1666
7 Br 0.2779 0.5000 0.6327
8 Br 0.2890 0.0000 0.6278
9 Br 0.7110 0.0000 0.3722
10 Br 0.7221 0.5000 0.3673
11 Br 0.7349 0.2743 0.8334
12 Br 0.7349 0.7257 0.8334

Values from the calculation:
Magnetic moment   0.0 Bohr magnetons per cell
V   427 Å³ per cell



[3]
# K3ErAg2Br9

A relaxed structure of K3ErAg2Br9 (GGA-PBE, the Alexandria database).

Cell: 7.8059 7.8059 9.7175 Å, 90.00 90.00 120.00°
Element x y z (fractional)
1 K 0.0000 0.0000 0.0000
2 K 0.3333 0.6667 0.7146
3 K 0.6667 0.3333 0.2854
4 Er 0.0000 0.0000 0.5000
5 Ag 0.3333 0.6667 0.1586
6 Ag 0.6667 0.3333 0.8414
7 Br 0.0000 0.5000 0.0000
8 Br 0.1652 0.3303 0.3331
9 Br 0.1652 0.8348 0.3331
10 Br 0.3303 0.1652 0.6669
11 Br 0.5000 0.0000 0.0000
12 Br 0.5000 0.5000 0.0000
13 Br 0.6697 0.8348 0.3331
14 Br 0.8348 0.1652 0.6669
15 Br 0.8348 0.6697 0.6669

Values from the calculation:
Magnetic moment   0.0 Bohr magnetons per cell
V   513 Å³ per cell



[4]
# KErAgBr5

A relaxed structure of KErAgBr5 (GGA-PBE, the Alexandria database).

Cell: 7.9243 7.9243 10.5878 Å, 102.23 102.23 109.57°
Element x y z (fractional)
1 K 0.1488 0.8512 0.7500
2 K 0.8512 0.1488 0.2500
3 Er 0.5000 0.5000 0.0000
4 Er 0.5000 0.5000 0.5000
5 Ag 0.1895 0.8105 0.2500
6 Ag 0.8105 0.1895 0.7500
7 Br 0.1316 0.2489 0.9439
8 Br 0.1905 0.5797 0.4028
9 Br 0.2489 0.1316 0.4439
10 Br 0.4203 0.8095 0.0972
11 Br 0.4237 0.5763 0.7500
12 Br 0.5763 0.4237 0.2500
13 Br 0.5797 0.1905 0.9028
14 Br 0.7511 0.8684 0.5561
15 Br 0.8095 0.4203 0.5972
16 Br 0.8684 0.7511 0.0561

Values from the calculation:
Magnetic moment   0.0 Bohr magnetons per cell
V   583 Å³ per cell



[5]
# K2ErAgBr6

A relaxed structure of K2ErAgBr6 (GGA-PBE, the Alexandria database).

Cell: 7.6496 8.0382 13.1698 Å, 90.00 125.04 90.00°
Element x y z (fractional)
1 K 0.2235 0.0772 0.2487
2 K 0.2235 0.4228 0.7487
3 K 0.7765 0.5772 0.2513
4 K 0.7765 0.9228 0.7513
5 Er 0.5000 0.0000 0.0000
6 Er 0.5000 0.5000 0.5000
7 Ag 0.0000 0.0000 0.5000
8 Ag 0.0000 0.5000 0.0000
9 Br 0.1542 0.1899 0.9501
10 Br 0.1542 0.3101 0.4501
11 Br 0.2647 0.7086 0.9506
12 Br 0.2647 0.7914 0.4506
13 Br 0.3524 0.0231 0.7512
14 Br 0.3524 0.4769 0.2512
15 Br 0.6476 0.5231 0.7488
16 Br 0.6476 0.9769 0.2488
17 Br 0.7353 0.2086 0.5494
18 Br 0.7353 0.2914 0.0494
19 Br 0.8458 0.6899 0.5499
20 Br 0.8458 0.8101 0.0499

Values from the calculation:
Magnetic moment   0.0 Bohr magnetons per cell
V   663 Å³ per cell



[6]
# LiErAg2Br6

A relaxed structure of LiErAg2Br6 (GGA-PBE, the Alexandria database).

Cell: 7.6532 7.6532 7.6532 Å, 55.35 55.35 55.35°
Element x y z (fractional)
1 Li 0.0000 0.0000 0.0000
2 Er 0.4963 0.4963 0.4963
3 Ag 0.3037 0.3037 0.3037
4 Ag 0.8042 0.8042 0.8042
5 Br 0.1054 0.7330 0.3883
6 Br 0.2360 0.6068 0.8863
7 Br 0.3883 0.1054 0.7330
8 Br 0.6068 0.8863 0.2360
9 Br 0.7330 0.3883 0.1054
10 Br 0.8863 0.2360 0.6068

Values from the calculation:
Magnetic moment   0.0 Bohr magnetons per cell
V   283 Å³ per cell



[7]
# Li2ErAgBr6

A relaxed structure of Li2ErAgBr6 (GGA-PBE, the Alexandria database).

Cell: 7.5996 7.5996 7.5996 Å, 54.93 54.93 54.93°
Element x y z (fractional)
1 Li 0.0000 0.0000 0.0000
2 Li 0.4895 0.4895 0.4895
3 Er 0.8087 0.8087 0.8087
4 Ag 0.2916 0.2916 0.2916
5 Br 0.0835 0.4016 0.7224
6 Br 0.2224 0.8756 0.6057
7 Br 0.4016 0.7224 0.0835
8 Br 0.6057 0.2224 0.8756
9 Br 0.7224 0.0835 0.4016
10 Br 0.8756 0.6057 0.2224

Values from the calculation:
Magnetic moment   0.0 Bohr magnetons per cell
V   274 Å³ per cell



[8]
# ErMgAgBr6

A relaxed structure of ErMgAgBr6 (GGA-PBE, the Alexandria database).

Cell: 6.9506 6.9506 12.9139 Å, 90.00 90.00 120.00°
Element x y z (fractional)
1 Er 0.3333 0.6667 0.2500
2 Er 0.6667 0.3333 0.7500
3 Mg 0.3333 0.6667 0.7500
4 Mg 0.6667 0.3333 0.2500
5 Ag 0.0000 0.0000 0.0000
6 Ag 0.0000 0.0000 0.5000
7 Br 0.0092 0.3550 0.6292
8 Br 0.0092 0.6542 0.8708
9 Br 0.3458 0.3550 0.8708
10 Br 0.3458 0.9908 0.6292
11 Br 0.3550 0.0092 0.1292
12 Br 0.3550 0.3458 0.3708
13 Br 0.6450 0.6542 0.6292
14 Br 0.6450 0.9908 0.8708
15 Br 0.6542 0.0092 0.3708
16 Br 0.6542 0.6450 0.1292
17 Br 0.9908 0.3458 0.1292
18 Br 0.9908 0.6450 0.3708

Values from the calculation:
Magnetic moment   0.0 Bohr magnetons per cell
V   540 Å³ per cell



[9]
# NaErAgBr5

A relaxed structure of NaErAgBr5 (GGA-PBE, the Alexandria database).

Cell: 7.9570 7.9570 10.3471 Å, 100.25 100.25 118.04°
Element x y z (fractional)
1 Na 0.0654 0.9346 0.7500
2 Na 0.9346 0.0654 0.2500
3 Er 0.5000 0.5000 0.0000
4 Er 0.5000 0.5000 0.5000
5 Ag 0.2182 0.7818 0.2500
6 Ag 0.7818 0.2182 0.7500
7 Br 0.0888 0.2610 0.9557
8 Br 0.1585 0.4944 0.3725
9 Br 0.2610 0.0888 0.4557
10 Br 0.4197 0.5803 0.7500
11 Br 0.4944 0.1585 0.8725
12 Br 0.5056 0.8415 0.1275
13 Br 0.5803 0.4197 0.2500
14 Br 0.7390 0.9112 0.5443
15 Br 0.8415 0.5056 0.6275
16 Br 0.9112 0.7390 0.0443

Values from the calculation:
Magnetic moment   0.0 Bohr magnetons per cell
V   543 Å³ per cell



[10]
# ErAgPbBr6

A relaxed structure of ErAgPbBr6 (GGA-PBE, the Alexandria database).

Cell: 7.2304 7.2304 13.3514 Å, 90.00 90.00 120.00°
Element x y z (fractional)
1 Er 0.3333 0.6667 0.2500
2 Er 0.6667 0.3333 0.7500
3 Ag 0.3333 0.6667 0.7500
4 Ag 0.6667 0.3333 0.2500
5 Pb 0.0000 0.0000 0.0000
6 Pb 0.0000 0.0000 0.5000
7 Br 0.0110 0.3570 0.1294
8 Br 0.0110 0.6540 0.3706
9 Br 0.3460 0.3570 0.3706
10 Br 0.3460 0.9890 0.1294
11 Br 0.3570 0.0110 0.6294
12 Br 0.3570 0.3460 0.8706
13 Br 0.6430 0.6540 0.1294
14 Br 0.6430 0.9890 0.3706
15 Br 0.6540 0.0110 0.8706
16 Br 0.6540 0.6430 0.6294
17 Br 0.9890 0.3460 0.6294
18 Br 0.9890 0.6430 0.8706

Values from the calculation:
Magnetic moment   0.0 Bohr magnetons per cell
V   604 Å³ per cell



[11]
# RbErAgBr6

A relaxed structure of RbErAgBr6 (GGA-PBE, the Alexandria database).

Cell: 7.1133 7.1133 7.6918 Å, 92.41 92.41 115.23°
Element x y z (fractional)
1 Rb 0.0000 0.0000 0.0000
2 Er 0.3353 0.6647 0.5000
3 Ag 0.6804 0.3196 0.5000
4 Br 0.0231 0.3576 0.6819
5 Br 0.0306 0.6223 0.2581
6 Br 0.3777 0.9694 0.7419
7 Br 0.4073 0.3703 0.2845
8 Br 0.6297 0.5927 0.7155
9 Br 0.6424 0.9769 0.3181

Values from the calculation:
Magnetic moment   0.9 Bohr magnetons per cell
V   351 Å³ per cell



[12]
# RbErAgBr5

A relaxed structure of RbErAgBr5 (GGA-PBE, the Alexandria database).

Cell: 8.0050 8.0050 10.6721 Å, 102.17 102.17 108.93°
Element x y z (fractional)
1 Rb 0.1554 0.8446 0.7500
2 Rb 0.8446 0.1554 0.2500
3 Er 0.5000 0.5000 0.0000
4 Er 0.5000 0.5000 0.5000
5 Ag 0.1891 0.8109 0.2500
6 Ag 0.8109 0.1891 0.7500
7 Br 0.1360 0.2545 0.9385
8 Br 0.1994 0.5926 0.4103
9 Br 0.2545 0.1360 0.4385
10 Br 0.4074 0.8006 0.0897
11 Br 0.4311 0.5689 0.7500
12 Br 0.5689 0.4311 0.2500
13 Br 0.5926 0.1994 0.9103
14 Br 0.7455 0.8640 0.5615
15 Br 0.8006 0.4074 0.5897
16 Br 0.8640 0.7455 0.0615

Values from the calculation:
Magnetic moment   0.0 Bohr magnetons per cell
V   603 Å³ per cell



What energy relative to the elements, uncorrected values result from the calculations? In sequence: -1.050; -1.555; -1.255; -1.452; -1.527; -1.157; -1.403; -1.365; -1.382; -1.185; -1.285; -1.464 eV per atom.